No. 1
{"formula": "TlAg2Rh", "functional": "GGA-PBE", "state": "optimized geometry", "ef_ev_per_atom": 0.18, "crystal_system": "tetragonal", "dos_at_fermi_per_ev_fu": 2.22, "total_energy_ev_per_cell": -14.7, "spacegroup": "P4mm", "polymorph_energy_ev_per_atom": 0.092, "cell": [[3.156, 0.000, 0.000], [0.000, 3.156, 0.000], [0.000, 0.000, 7.455]], "species": ["Tl", "Ag", "Ag", "Rh"], "fractional_positions": [[0.500, 0.500, 0.726], [0.000, 0.000, 0.020], [0.500, 0.500, 0.260], [0.000, 0.000, 0.494]]}


No. 2
{"formula": "TlAg2Rh", "functional": "GGA-PBE", "state": "optimized geometry", "ef_ev_per_atom": 0.14, "crystal_system": "tetragonal", "dos_at_fermi_per_ev_fu": 1.56, "total_energy_ev_per_cell": -14.9, "spacegroup": "I-4m2", "polymorph_energy_ev_per_atom": 0.051, "cell": [[1.463, -4.715, 0.463], [-3.710, -2.224, 2.425], [-0.203, 2.798, -4.089]], "species": ["Tl", "Ag", "Ag", "Rh"], "fractional_positions": [[0.750, 0.250, 0.500], [0.000, 0.000, 0.000], [0.250, 0.750, 0.500], [0.500, 0.500, 0.000]]}


No. 3
{"formula": "Tl2AgRh", "functional": "GGA-PBE", "state": "optimized geometry", "ef_ev_per_atom": 0.19, "crystal_system": "tetragonal", "dos_at_fermi_per_ev_fu": 1.76, "total_energy_ev_per_cell": -14.2, "spacegroup": "I-4m2", "polymorph_energy_ev_per_atom": 0.078, "cell": [[-2.048, 2.048, 4.821], [2.048, -2.048, 4.821], [2.048, 2.048, -4.821]], "species": ["Tl", "Tl", "Ag", "Rh"], "fractional_positions": [[0.000, 0.000, 0.000], [0.250, 0.750, 0.500], [0.500, 0.500, 0.000], [0.750, 0.250, 0.500]]}


No. 4
{"formula": "TlAg4Rh", "functional": "GGA-PBE", "state": "optimized geometry", "ef_ev_per_atom": 0.35, "crystal_system": "cubic", "dos_at_fermi_per_ev_fu": 4.71, "total_energy_ev_per_cell": -19.0, "spacegroup": "F-43m", "cell": [[0.428, -5.161, -1.745], [-3.808, -3.672, 1.370], [-3.452, -1.899, -3.787]], "species": ["Tl", "Ag", "Ag", "Ag", "Ag", "Rh"], "fractional_positions": [[0.000, 0.000, 0.000], [0.874, 0.375, 0.375], [0.375, 0.375, 0.874], [0.375, 0.874, 0.375], [0.375, 0.375, 0.375], [0.750, 0.750, 0.750]]}


No. 5
{"formula": "TlAgRh2", "functional": "GGA-PBE", "state": "optimized geometry", "ef_ev_per_atom": 0.54, "crystal_system": "tetragonal", "dos_at_fermi_per_ev_fu": 7.04, "total_energy_ev_per_cell": -35.5, "spacegroup": "I-42d", "polymorph_energy_ev_per_atom": 0.361, "cell": [[3.961, 0.000, 0.000], [0.000, 3.961, 0.000], [1.980, 1.980, 9.664]], "species": ["Tl", "Tl", "Rh", "Rh", "Rh", "Rh", "Ag", "Ag"], "fractional_positions": [[0.000, 0.000, 0.000], [0.750, 0.250, 0.500], [0.592, 0.125, 0.250], [0.158, 0.625, 0.250], [0.375, 0.408, 0.750], [0.875, 0.842, 0.750], [0.500, 0.500, 0.000], [0.250, 0.750, 0.500]]}


No. 6
{"formula": "TlAg2Rh", "functional": "GGA-PBE", "state": "optimized geometry", "ef_ev_per_atom": 0.20, "crystal_system": "monoclinic", "dos_at_fermi_per_ev_fu": 2.06, "total_energy_ev_per_cell": -14.6, "spacegroup": "Cm", "polymorph_energy_ev_per_atom": 0.108, "cell": [[1.568, 4.709, 0.030], [-1.568, 4.709, 0.030], [0.000, 1.081, 5.019]], "species": ["Tl", "Ag", "Ag", "Rh"], "fractional_positions": [[0.243, 0.243, 0.280], [0.004, 0.004, 0.974], [0.755, 0.755, 0.762], [0.498, 0.498, 0.483]]}